Density functional theory data (PBE with a Hubbard U) for VMoO2 after structural relaxation.

Values from the calculation:
Final energy ... -7.326 eV per atom
Magnetization ... 5.24 Bohr magnetons per cell

a b c (Å): 6.560 6.560 6.560
angles (deg): 27.43 27.43 27.43
Sites, in units of the cell vectors:
V (0.000, 0.000, 0.000)
Mo (0.500, 0.500, 0.500)
O (0.387, 0.387, 0.387)
O (0.613, 0.613, 0.613)